# 1
Density functional theory data (PBE) for a geometry-optimized Nd2Sn2PtAu3 structure.

```
8
Lattice="-3.7706 -2.7468 -0.8896 4.3835 -1.6761 -0.7279 0.2457 -3.2109 8.8728" Properties=species:S:1:pos:R:3 pbc="T T T"
Au 1.6879 -2.3260 0.0278
Au 1.7633 -3.3119 2.7521
Au 0.1486 -1.9423 5.3671
Nd 0.0618 -0.8081 2.2331
Nd 1.8508 -4.4543 5.9089
Pt 0.2256 -2.9483 8.1471
Sn -0.9298 -3.9938 3.5962
Sn -0.8113 -5.5434 7.8784
```

Calculated values
- symmetry = P3m1 (156)
- uncorrected energy (eV/atom) = -4.93

---

# 2
Density functional theory data (PBE) for a geometry-optimized LiAlFeTe structure.

```
4
Lattice="0.0000 3.2758 3.2758 3.2758 0.0000 3.2758 3.2758 3.2758 0.0000" Properties=species:S:1:pos:R:3 pbc="T T T"
Al 1.6379 1.6379 1.6379
Fe 0.0000 0.0000 0.0000
Li 4.9137 4.9137 4.9137
Te 3.2758 3.2758 3.2758
```

Calculated values
- symmetry = F-43m (216)
- energy above the lowest structure with this stoichiometry (eV per atom) = 0.249
- uncorrected energy (eV/atom) = -4.01